Here is crystalline Ba2NbRu at its relaxed geometry from the Alexandria database. Energies are from PBE.

Cell and atoms, written as POSCAR:
```
Ba2NbRu
1.0
0.000 3.896 3.896
3.896 0.000 3.896
3.896 3.896 0.000
Nb Ru Ba
1 1 2
Direct
0.000 0.000 0.000
0.500 0.500 0.500
0.250 0.250 0.250
0.750 0.750 0.750
```

## Properties
- ΔH_f (0 K) (eV per formula unit) = 4.9
- M_tot (μB/f.u.) = 3.7

Here is crystalline BaNbRu3 at its relaxed geometry from the Alexandria database. Energies are from PBE.

Cell and atoms, written as POSCAR:
```
BaNbRu3
1.0
-3.052 0.346 3.804
1.959 -4.038 1.940
3.278 2.735 2.382
Ru Ba Nb
3 1 1
Direct
0.000 0.500 0.000
0.500 0.000 0.000
0.000 0.000 0.500
0.500 0.500 0.500
0.000 0.000 0.000
```

## Properties
- ΔH_f (0 K) (eV per formula unit) = 4.7
- M_tot (μB/f.u.) = 2.3